A plane-wave DFT calculation with PBE was carried out for a geometry-optimized Pr2CoSi5 structure.

a b c (Å): 6.137 6.137 6.137
angles (deg): 83.78 123.66 123.66
Fractional coordinates of all 8 atoms:
1 Pr 0.500 0.227 0.727
2 Pr 0.500 0.727 0.227
3 Co 0.000 0.036 0.036
4 Si 0.435 0.703 0.703
5 Si 0.000 0.703 0.268
6 Si 0.000 0.268 0.703
7 Si 0.565 0.268 0.268
8 Si 0.000 0.289 0.289

Results
* DOS(E_F): 4.16 states/eV/f.u.
* space-group type: No. 107
* E_form (uncorrected): -0.441 eV per atom

---

A plane-wave DFT calculation with PBE was carried out for a geometry-optimized Pr2Co12Si7 structure.

a b c (Å): 3.702 9.212 9.212
angles (deg): 120.00 90.00 90.00
Site moments in Bohr magnetons follow the coordinates.
Fractional coordinates of all 21 atoms:
1 Pr 0.500 0.000 0.000  -0.02
2 Pr 0.000 0.667 0.333  -0.02
3 Co 0.500 0.904 0.615  0.04
4 Co 0.500 0.711 0.096  0.04
5 Co 0.500 0.385 0.289  0.04
6 Co 0.500 0.230 0.780  0.32
7 Co 0.500 0.551 0.770  0.32
8 Co 0.500 0.220 0.449  0.32
9 Co 0.000 0.058 0.537  0.12
10 Co 0.000 0.479 0.942  0.12
11 Co 0.000 0.463 0.521  0.12
12 Co 0.000 0.770 0.723  0.08
13 Co 0.000 0.953 0.230  0.08
14 Co 0.000 0.277 0.047  0.08
15 Si 0.000 0.333 0.667  -0.01
16 Si 0.000 0.049 0.773  -0.01
17 Si 0.000 0.724 0.951  -0.01
18 Si 0.000 0.227 0.276  -0.01
19 Si 0.500 0.628 0.568  -0.01
20 Si 0.500 0.940 0.372  -0.01
21 Si 0.500 0.432 0.060  -0.01

Results
* DOS(E_F): 15.22 states/eV/f.u.
* space-group type: No. 174
* E_form (uncorrected): -0.527 eV per atom

---

Q: Which formula does entry 1 have?
A: Pr2CoSi5